[1]
First-principles (PBE) data for a geometry-optimized HfCuSb2Te structure, as listed in the Alexandria database.

Geometry as CIF:
```
data_HfCuSb2Te
_chemical_formula_sum 'Hf1 Cu1 Sb2 Te1'
_symmetry_space_group_name_H-M 'P 4/m m m'
_symmetry_Int_Tables_number 123
_symmetry_space_group_name_Hall '-P 4 2'
_cell_length_a 4.987
_cell_length_b 4.987
_cell_length_c 5.158
_cell_angle_alpha 90.00
_cell_angle_beta 90.00
_cell_angle_gamma 90.00
loop_
_atom_site_label
_atom_site_type_symbol
_atom_site_fract_x
_atom_site_fract_y
_atom_site_fract_z
Hf1 Hf 0.000 0.000 0.000
Cu1 Cu 0.500 0.500 0.500
Sb1 Sb 0.000 0.500 0.500
Te1 Te 0.500 0.500 0.000
```

Output
The spin magnetization is 0.00 μB per cell. Its energy above the most stable polymorph in this dataset is 0 meV/atom.

[2]
First-principles (PBE) data for a geometry-optimized HfScCu structure, as listed in the Alexandria database.

Geometry as CIF:
```
data_HfScCu
_chemical_formula_sum 'Hf4 Sc4 Cu4'
_symmetry_space_group_name_H-M 'F -4 3 m'
_symmetry_Int_Tables_number 216
_symmetry_space_group_name_Hall 'F -4 2 3'
_cell_length_a 6.351
_cell_length_b 6.351
_cell_length_c 6.351
_cell_angle_alpha 90.00
_cell_angle_beta 90.00
_cell_angle_gamma 90.00
loop_
_atom_site_label
_atom_site_type_symbol
_atom_site_fract_x
_atom_site_fract_y
_atom_site_fract_z
Hf1 Hf 0.000 0.000 0.000
Sc1 Sc 0.250 0.250 0.250
Cu1 Cu 0.250 0.250 0.750
```

Output
The spin magnetization is 0.00 μB per cell. Its energy above the most stable polymorph in this dataset is 974 meV/atom.

[3]
First-principles (PBE) data for a geometry-optimized Hf2ScCu structure, as listed in the Alexandria database.

Geometry as CIF:
```
data_Hf2ScCu
_chemical_formula_sum 'Hf2 Sc1 Cu1'
_symmetry_space_group_name_H-M 'P 4/m m m'
_symmetry_Int_Tables_number 123
_symmetry_space_group_name_Hall '-P 4 2'
_cell_length_a 3.146
_cell_length_b 3.146
_cell_length_c 8.058
_cell_angle_alpha 90.00
_cell_angle_beta 90.00
_cell_angle_gamma 90.00
loop_
_atom_site_label
_atom_site_type_symbol
_atom_site_fract_x
_atom_site_fract_y
_atom_site_fract_z
Hf1 Hf 0.000 0.000 0.217
Sc1 Sc 0.500 0.500 0.500
Cu1 Cu 0.500 0.500 0.000
```

Output
The spin magnetization is 0.06 μB per cell. Its energy above the most stable polymorph in this dataset is 0 meV/atom.

[4]
First-principles (PBE) data for a geometry-optimized HfScCu10 structure, as listed in the Alexandria database.

Geometry as CIF:
```
data_HfScCu10
_chemical_formula_sum 'Hf1 Sc1 Cu10'
_symmetry_space_group_name_H-M 'P m m m'
_symmetry_Int_Tables_number 47
_symmetry_space_group_name_Hall '-P 2 2'
_cell_length_a 4.098
_cell_length_b 4.892
_cell_length_c 8.400
_cell_angle_alpha 90.00
_cell_angle_beta 90.00
_cell_angle_gamma 90.00
loop_
_atom_site_label
_atom_site_type_symbol
_atom_site_fract_x
_atom_site_fract_y
_atom_site_fract_z
Hf1 Hf 0.000 0.000 0.000
Sc1 Sc 0.000 0.500 0.500
Cu1 Cu 0.000 0.000 0.332
Cu2 Cu 0.000 0.500 0.166
Cu3 Cu 0.500 0.000 0.500
Cu4 Cu 0.500 0.248 0.247
Cu5 Cu 0.500 0.500 0.000
```

Output
The spin magnetization is 0.00 μB per cell. The total energy is -4.84 eV per atom.

[5]
First-principles (PBE) data for a geometry-optimized HfSc5Cu6 structure, as listed in the Alexandria database.

Geometry as CIF:
```
data_HfSc5Cu6
_chemical_formula_sum 'Hf2 Sc10 Cu12'
_symmetry_space_group_name_H-M 'C m m m'
_symmetry_Int_Tables_number 65
_symmetry_space_group_name_Hall '-C 2 2'
_cell_length_a 4.624
_cell_length_b 13.837
_cell_length_c 6.474
_cell_angle_alpha 90.00
_cell_angle_beta 90.00
_cell_angle_gamma 90.00
loop_
_atom_site_label
_atom_site_type_symbol
_atom_site_fract_x
_atom_site_fract_y
_atom_site_fract_z
Hf1 Hf 0.000 0.000 0.000
Sc1 Sc 0.000 0.000 0.500
Sc2 Sc 0.000 0.332 0.000
Sc3 Sc 0.000 0.333 0.500
Cu1 Cu 0.000 0.164 0.247
Cu2 Cu 0.000 0.500 0.236
```

Output
The spin magnetization is 0.00 μB per cell. The total energy is -5.76 eV per atom.

[6]
First-principles (PBE) data for a geometry-optimized HfScCu structure, as listed in the Alexandria database.

Geometry as CIF:
```
data_HfScCu
_chemical_formula_sum 'Hf4 Sc4 Cu4'
_symmetry_space_group_name_H-M 'P n m a'
_symmetry_Int_Tables_number 62
_symmetry_space_group_name_Hall '-P 2ac 2n'
_cell_length_a 6.399
_cell_length_b 3.196
_cell_length_c 11.227
_cell_angle_alpha 90.00
_cell_angle_beta 90.00
_cell_angle_gamma 90.00
loop_
_atom_site_label
_atom_site_type_symbol
_atom_site_fract_x
_atom_site_fract_y
_atom_site_fract_z
Hf1 Hf 0.120 0.250 0.094
Sc1 Sc 0.128 0.250 0.399
Cu1 Cu 0.127 0.250 0.751
```

Output
The spin magnetization is 0.00 μB per cell. Its energy above the most stable polymorph in this dataset is 0 meV/atom.